[1]
{
  "formula": "Sr2Tl7",
  "functional": "PBE",
  "state": "relaxed",
  "space_group": "No. 166",
  "magmom_total_mub_per_cell": 0.0,
  "e_form_ev_per_atom": -0.14,
  "lattice": [[3.2137, 1.8554, 16.8809], [-3.2137, 1.8554, 16.8809], [0.0000, -3.7108, 16.8809]],
  "species": ["Sr", "Sr", "Sr", "Sr", "Tl", "Tl", "Tl", "Tl", "Tl", "Tl", "Tl", "Tl", "Tl", "Tl", "Tl", "Tl", "Tl", "Tl"],
  "fractional_positions": [[0.0499, 0.0499, 0.0499], [0.1475, 0.1475, 0.1475], [0.8525, 0.8525, 0.8525], [0.9501, 0.9501, 0.9501], [0.0000, 0.5000, 0.5000], [0.1091, 0.6146, 0.6146], [0.2765, 0.2765, 0.2765], [0.3854, 0.3854, 0.8909], [0.3854, 0.8909, 0.3854], [0.3911, 0.3911, 0.3911], [0.5000, 0.0000, 0.5000], [0.5000, 0.5000, 0.0000], [0.5000, 0.5000, 0.5000], [0.6089, 0.6089, 0.6089], [0.6146, 0.1091, 0.6146], [0.6146, 0.6146, 0.1091], [0.7235, 0.7235, 0.7235], [0.8909, 0.3854, 0.3854]]
}

[2]
{
  "formula": "SrTl4",
  "functional": "PBE",
  "state": "relaxed",
  "space_group": "No. 87",
  "magmom_total_mub_per_cell": 0.0,
  "e_form_ev_per_atom": -0.20,
  "lattice": [[7.9171, 0.0000, 0.0000], [0.0000, 7.9171, 0.0000], [0.0000, 0.0000, 5.0052]],
  "species": ["Sr", "Sr", "Tl", "Tl", "Tl", "Tl", "Tl", "Tl", "Tl", "Tl"],
  "fractional_positions": [[0.0000, 0.0000, 0.0000], [0.5000, 0.5000, 0.5000], [0.0851, 0.3054, 0.5000], [0.1946, 0.5851, 0.0000], [0.3054, 0.9149, 0.5000], [0.4149, 0.1946, 0.0000], [0.5851, 0.8054, 0.0000], [0.6946, 0.0851, 0.5000], [0.8054, 0.4149, 0.0000], [0.9149, 0.6946, 0.5000]]
}

[3]
{
  "formula": "Sr3Tl5",
  "functional": "PBE",
  "state": "relaxed",
  "space_group": "No. 2",
  "relative_energy_ev_per_atom": 0.066,
  "magmom_total_mub_per_cell": 0.0,
  "e_form_ev_per_atom": -0.29,
  "lattice": [[6.9239, 0.0000, 0.0000], [1.9744, 8.8492, 0.0000], [3.4440, 0.0211, 8.8405]],
  "species": ["Sr", "Sr", "Sr", "Sr", "Sr", "Sr", "Tl", "Tl", "Tl", "Tl", "Tl", "Tl", "Tl", "Tl", "Tl", "Tl"],
  "fractional_positions": [[0.1559, 0.0002, 0.1817], [0.2000, 0.3179, 0.5004], [0.2176, 0.5013, 0.0643], [0.7824, 0.4987, 0.9357], [0.8000, 0.6821, 0.4996], [0.8441, 0.9998, 0.8183], [0.2051, 0.6331, 0.6882], [0.2449, 0.1788, 0.8333], [0.2972, 0.9391, 0.4983], [0.3905, 0.6332, 0.3123], [0.4266, 0.8225, 0.8346], [0.5734, 0.1775, 0.1654], [0.6095, 0.3668, 0.6877], [0.7028, 0.0609, 0.5017], [0.7551, 0.8212, 0.1667], [0.7949, 0.3669, 0.3118]]
}